Record 1
# AcLaDyMg

An optimized crystal structure of AcLaDyMg (GGA-PBE, the Alexandria database).

Computed properties:
Its formation enthalpy at 0 K is 10.5 kJ per mole of atoms. The energy comes out at -3.6996 eV/atom. The relative energy among the computed polymorphs comes out at 0.134 eV/atom.

a b c (Å): 5.796 5.796 5.796
angles (deg): 60.00 60.00 60.00
Atoms (fractional coordinates):
Mg 0.750 0.750 0.750
Dy 0.500 0.500 0.500
La 0.000 0.000 0.000
Ac 0.250 0.250 0.250

Record 2
# Ta2TePb2

An optimized crystal structure of Ta2TePb2 (GGA-PBE, the Alexandria database).

Computed properties:
The energy comes out at -6.0751 eV/atom. The relative energy among the computed polymorphs comes out at 0.259 eV/atom. For the formation energy from raw total energies, the calculation gives 778 meV per atom.

a b c (Å): 9.011 9.011 3.087
angles (deg): 90.00 90.00 90.00
Atoms (fractional coordinates):
Te 0.500 0.500 0.000
Ta 0.106 0.606 0.500
Pb 0.317 0.817 0.000
Ta 0.606 0.894 0.500
Pb 0.683 0.183 0.000
Ta 0.394 0.106 0.500
Ta 0.894 0.394 0.500
Pb 0.183 0.317 0.000
Te 0.000 0.000 0.000
Pb 0.817 0.683 0.000

Q: Which of these has the highest relative energy among the computed polymorphs?
A: Ta2TePb2